Record 1
The following is a PBE calculation of an optimized crystal structure of RbNaZr2Te, from Alexandria.

Cell: 5.316 5.146 5.316 Å, 90.00 90.00 90.00°
Atoms (fractional coordinates):
Te 0.500 0.500 0.500
Rb 0.000 0.000 0.000
Na 0.000 0.500 0.000
Zr 0.000 0.000 0.500
Zr 0.500 0.000 0.000

Formation energy from raw total energies ... 38.0 kcal/mol of atoms
Uncorrected energy ... -2.856 eV/atom

=====

Record 2
The following is a PBE calculation of an optimized crystal structure of MnInCo, from Alexandria.

Cell: 4.198 4.198 4.198 Å, 60.00 60.00 60.00°
Each line ends with the local moment (μB).
Atoms (fractional coordinates):
Co 0.250 0.250 0.250  0.76
In 0.000 0.000 0.000  -0.07
Mn 0.500 0.500 0.500  3.54

Uncorrected energy ... -5.986 eV/atom
Energy of formation from the pure elements ... 102 kJ/mol of formula units
Offset from the most stable computed form ... 0.78 eV/f.u.

=====

Record 3
The following is a PBE calculation of an optimized crystal structure of La8Sc2Tl, from Alexandria.

Cell: 5.035 8.129 9.517 Å, 105.48 105.34 90.00°
Atoms (fractional coordinates):
Sc 0.228 0.629 0.455
La 0.404 0.545 0.807
La 0.323 0.092 0.646
Tl 0.500 0.000 0.000
La 0.140 0.187 0.280
La 0.860 0.813 0.720
La 0.677 0.908 0.354
La 0.596 0.455 0.193
La 0.048 0.732 0.095
Sc 0.772 0.371 0.545
La 0.952 0.268 0.905

Uncorrected energy ... -4.989 eV/atom
Energy of formation from the pure elements ... -42 kJ/mol of formula units

=====

Record 4
The following is a PBE calculation of an optimized crystal structure of Tm6TlAu5, from Alexandria.

Cell: 5.032 7.286 7.962 Å, 90.00 71.58 90.00°
Atoms (fractional coordinates):
Tm 0.829 0.255 0.341
Tm 0.500 0.263 0.000
Au 0.339 0.000 0.321
Tm 0.829 0.745 0.341
Tm 0.500 0.737 0.000
Tl 0.000 0.000 0.000
Tm 0.171 0.745 0.659
Au 0.333 0.500 0.333
Tm 0.171 0.255 0.659
Au 0.667 0.500 0.667
Au 0.000 0.500 0.000
Au 0.661 0.000 0.679

Uncorrected energy ... -4.584 eV/atom
Energy of formation from the pure elements ... -909 kJ/mol of formula units